This record from Alexandria describes crystalline CaAs2Pt2 at its relaxed geometry. The functional is PBE-GGA.

Calculated values
* magnetization: 0.00 μB per formula unit
* energy of formation: -38.4 kJ/mol of atoms
* symmetry: P4/mbm, No. 127
* Fermi-level density of states: 3.47 states/eV/f.u.

Structure (POSCAR):
```
CaAs2Pt2
1.0
7.709 0.000 0.000
0.000 7.709 0.000
0.000 0.000 3.150
Ca As Pt
2 4 4
direct
0.000 0.000 0.000
0.500 0.500 0.000
0.144 0.356 0.000
0.356 0.856 0.000
0.644 0.144 0.000
0.856 0.644 0.000
0.165 0.665 0.500
0.335 0.165 0.500
0.665 0.835 0.500
0.835 0.335 0.500
```